# 1
VASP calculation (PBE) on a relaxed SrAc3 crystal.

```
SrAc3
1.0
-2.864 2.864 5.660
2.864 -2.864 5.660
2.864 2.864 -5.660
Sr Ac
1 3
Cartesian
0.000 0.000 0.000
2.864 0.000 2.830
0.000 0.000 5.660
0.000 2.864 2.830
```

Values from the calculation:
Crystal system ... tetragonal
ρ ... 6.9 g/cm³
Formation enthalpy at 0 K ... 64 meV per atom
Final energy ... -3.44 eV per atom
M_tot ... 0.000 Bohr magnetons per cell

---

# 2
VASP calculation (PBE) on a relaxed SrAc4 crystal.

```
SrAc4
1.0
3.490 -2.013 0.000
3.490 2.013 0.000
-2.319 0.000 16.582
Sr Ac
1 4
Cartesian
0.000 0.000 0.000
0.011 0.000 9.940
2.328 0.000 3.461
2.333 0.000 13.121
4.650 0.000 6.643
```

Values from the calculation:
Crystal system ... monoclinic
ρ ... 7.1 g/cm³
Formation enthalpy at 0 K ... 28 meV per atom
Final energy ... -3.60 eV per atom
M_tot ... 0.000 Bohr magnetons per cell

---

# 3
VASP calculation (PBE) on a relaxed Sr3Ac crystal.

```
Sr3Ac
1.0
-2.037 6.820 3.634
2.037 -6.820 3.634
2.037 6.820 -3.634
Sr Ac
3 1
Cartesian
0.000 0.000 0.000
2.037 3.457 1.272
0.000 3.362 4.906
2.037 0.000 3.622
```

Values from the calculation:
Crystal system ... orthorhombic
ρ ... 4.0 g/cm³
Formation enthalpy at 0 K ... 69 meV per atom
Final energy ... -2.22 eV per atom
M_tot ... 0.000 Bohr magnetons per cell

---

# 4
VASP calculation (PBE) on a relaxed SrAc3 crystal.

```
SrAc3
1.0
4.048 0.000 0.000
-2.024 3.506 0.000
0.000 0.000 13.227
Sr Ac
1 3
Cartesian
0.000 0.000 0.000
0.000 0.000 6.613
0.000 2.337 3.415
0.000 2.337 9.811
```

Values from the calculation:
Crystal system ... hexagonal
ρ ... 6.8 g/cm³
Formation enthalpy at 0 K ... 40 meV per atom
Final energy ... -3.46 eV per atom
M_tot ... 0.001 Bohr magnetons per cell

---

# 5
VASP calculation (PBE) on a relaxed SrAc4 crystal.

```
SrAc4
1.0
6.352 0.000 0.000
0.000 6.352 0.000
0.000 0.000 6.352
Sr Ac
1 4
Cartesian
0.000 0.000 0.000
0.000 0.000 3.176
0.000 3.176 0.000
3.176 0.000 0.000
3.176 3.176 3.176
```

Values from the calculation:
Crystal system ... cubic
ρ ... 6.5 g/cm³
Formation enthalpy at 0 K ... 755 meV per atom
Final energy ... -2.87 eV per atom
M_tot ... 0.001 Bohr magnetons per cell

---

# 6
VASP calculation (PBE) on a relaxed Sr2Ac crystal.

```
Sr2Ac
1.0
5.693 -3.289 0.000
5.693 3.289 0.000
-0.005 0.000 3.955
Sr Ac
2 1
Cartesian
1.896 0.000 1.440
9.485 0.000 2.515
5.693 0.000 0.000
```

Values from the calculation:
Crystal system ... monoclinic
ρ ... 4.5 g/cm³
Formation enthalpy at 0 K ... 77 meV per atom
Final energy ... -2.41 eV per atom
M_tot ... 0.000 Bohr magnetons per cell

---

# 7
VASP calculation (PBE) on a relaxed Sr3Ac crystal.

```
Sr3Ac
1.0
4.093 0.000 0.000
0.000 6.787 0.000
0.000 0.000 7.278
Sr Ac
3 1
Cartesian
0.000 0.000 0.000
0.000 3.394 2.420
2.046 3.394 5.987
2.046 0.000 3.646
```

Values from the calculation:
Crystal system ... orthorhombic
ρ ... 4.0 g/cm³
Formation enthalpy at 0 K ... 66 meV per atom
Final energy ... -2.22 eV per atom
M_tot ... 0.000 Bohr magnetons per cell

---

# 8
VASP calculation (PBE) on a relaxed Sr3Ac4 crystal.

```
Sr3Ac4
1.0
-2.040 2.040 20.452
2.040 -2.040 20.452
2.040 2.040 -20.452
Sr Ac
3 4
Cartesian
0.000 0.000 0.000
0.000 0.000 11.822
0.000 0.000 29.081
0.000 0.000 5.616
0.000 0.000 17.424
0.000 0.000 23.479
0.000 0.000 35.288
```

Values from the calculation:
Crystal system ... tetragonal
ρ ... 5.7 g/cm³
Formation enthalpy at 0 K ... 25 meV per atom
Final energy ... -3.04 eV per atom
M_tot ... 0.000 Bohr magnetons per cell

---

# 9
VASP calculation (PBE) on a relaxed SrAc3 crystal.

```
SrAc3
1.0
-2.030 6.521 3.529
2.030 -6.521 3.529
2.030 6.521 -3.529
Sr Ac
1 3
Cartesian
0.000 0.000 0.000
2.030 3.336 1.163
2.030 0.000 3.523
0.000 3.184 4.692
```

Values from the calculation:
Crystal system ... orthorhombic
ρ ... 6.8 g/cm³
Formation enthalpy at 0 K ... 52 meV per atom
Final energy ... -3.45 eV per atom
M_tot ... 0.000 Bohr magnetons per cell

---

# 10
VASP calculation (PBE) on a relaxed Sr5Ac crystal.

```
Sr5Ac
1.0
3.308 -7.003 0.000
3.308 7.003 0.000
0.000 0.000 6.609
Sr Ac
5 1
Cartesian
0.000 0.000 0.000
3.308 4.671 3.305
3.308 2.276 0.000
3.308 -2.276 0.000
3.308 -4.671 3.305
3.308 0.000 3.305
```

Values from the calculation:
Crystal system ... orthorhombic
ρ ... 3.6 g/cm³
Formation enthalpy at 0 K ... 49 meV per atom
Final energy ... -2.04 eV per atom
M_tot ... 0.000 Bohr magnetons per cell

---

# 11
VASP calculation (PBE) on a relaxed SrAc3 crystal.

```
SrAc3
1.0
0.000 4.547 4.547
4.547 0.000 4.547
4.547 4.547 0.000
Sr Ac
1 3
Cartesian
0.000 0.000 0.000
2.274 2.274 2.274
4.547 4.547 4.547
6.821 6.821 6.821
```

Values from the calculation:
Crystal system ... cubic
ρ ... 6.8 g/cm³
Formation enthalpy at 0 K ... 131 meV per atom
Final energy ... -3.37 eV per atom
M_tot ... 0.032 Bohr magnetons per cell

---

# 12
VASP calculation (PBE) on a relaxed SrAc6 crystal.

```
SrAc6
1.0
-4.776 4.776 4.776
4.776 -4.776 4.776
4.776 4.776 -4.776
Sr Ac
1 6
Cartesian
0.000 0.000 0.000
4.776 2.388 0.000
4.776 0.000 2.388
2.388 4.776 0.000
2.388 0.000 4.776
0.000 4.776 2.388
0.000 2.388 4.776
```

Values from the calculation:
Crystal system ... cubic
ρ ... 5.5 g/cm³
Formation enthalpy at 0 K ... 1235 meV per atom
Final energy ... -2.53 eV per atom
M_tot ... 0.000 Bohr magnetons per cell

---

# 13
VASP calculation (PBE) on a relaxed Sr3Ac crystal.

```
Sr3Ac
1.0
2.069 1.195 13.705
-2.069 1.195 13.705
0.000 -2.390 13.705
Sr Ac
3 1
Cartesian
0.000 0.000 0.000
0.000 0.000 10.199
0.000 0.000 30.916
0.000 0.000 20.558
```

Values from the calculation:
Crystal system ... trigonal
ρ ... 4.0 g/cm³
Formation enthalpy at 0 K ... 42 meV per atom
Final energy ... -2.25 eV per atom
M_tot ... 0.000 Bohr magnetons per cell

---

# 14
VASP calculation (PBE) on a relaxed Sr2Ac crystal.

```
Sr2Ac
1.0
-2.032 2.032 9.073
2.032 -2.032 9.073
2.032 2.032 -9.073
Sr Ac
2 1
Cartesian
0.000 0.000 2.923
0.000 0.000 15.224
0.000 0.000 9.073
```

Values from the calculation:
Crystal system ... tetragonal
ρ ... 4.5 g/cm³
Formation enthalpy at 0 K ... 71 meV per atom
Final energy ... -2.42 eV per atom
M_tot ... 0.001 Bohr magnetons per cell

---

# 15
VASP calculation (PBE) on a relaxed Sr2AcTb crystal.

```
Sr2AcTb
1.0
1.926 1.112 13.949
-1.926 1.112 13.949
0.000 -2.224 13.949
Sr Ac Tb
2 1 1
Cartesian
0.000 0.000 3.564
0.000 0.000 38.282
0.000 0.000 20.923
0.000 0.000 0.000
```

Values from the calculation:
Crystal system ... trigonal
ρ ... 5.2 g/cm³
Formation enthalpy at 0 K ... 311 meV per atom
Final energy ... -2.71 eV per atom
M_tot ... 0.675 Bohr magnetons per cell

---

# 16
VASP calculation (PBE) on a relaxed Sr3AcTb2Te6 crystal.

```
Sr3AcTb2Te6
1.0
3.963 -6.858 0.000
3.963 6.858 0.000
-2.654 0.000 7.626
Sr Ac Tb Te
3 1 2 6
Cartesian
0.000 0.000 0.000
3.963 2.208 0.000
3.963 -2.208 0.000
2.636 0.000 3.813
2.636 4.554 3.813
2.636 -4.554 3.813
1.257 2.389 1.981
-0.130 0.000 5.609
1.257 -2.389 1.981
4.015 2.389 5.646
5.402 0.000 2.017
4.015 -2.389 5.646
```

Values from the calculation:
Crystal system ... monoclinic
ρ ... 6.3 g/cm³
Final energy ... -4.63 eV per atom
M_tot ... 0.000 Bohr magnetons per cell

---

# 17
VASP calculation (PBE) on a relaxed SrAc2TbTe5 crystal.

```
SrAc2TbTe5
1.0
5.561 0.000 0.000
0.000 5.561 0.000
0.000 0.000 12.025
Sr Ac Tb Te
1 2 1 5
Cartesian
0.000 0.000 0.000
2.780 2.780 3.662
2.780 2.780 8.363
0.000 0.000 6.013
0.000 0.000 3.034
0.000 0.000 8.992
0.000 2.780 6.013
2.780 0.000 6.013
2.780 2.780 0.000
```

Values from the calculation:
Crystal system ... tetragonal
ρ ... 6.0 g/cm³
Final energy ... -4.53 eV per atom
M_tot ... 0.000 Bohr magnetons per cell

---

# 18
VASP calculation (PBE) on a relaxed SrAcTbTl crystal.

```
SrAcTbTl
1.0
0.000 4.161 4.161
4.161 0.000 4.161
4.161 4.161 0.000
Sr Ac Tb Tl
1 1 1 1
Cartesian
0.000 0.000 0.000
6.242 6.242 6.242
4.161 4.161 4.161
2.081 2.081 2.081
```

Values from the calculation:
Crystal system ... cubic
ρ ... 7.8 g/cm³
Formation enthalpy at 0 K ... 107 meV per atom
Final energy ... -3.09 eV per atom
M_tot ... 0.714 Bohr magnetons per cell

---

# 19
VASP calculation (PBE) on a relaxed SrAc8Tc2 crystal.

```
SrAc8Tc2
1.0
8.618 -3.805 0.000
8.618 3.805 0.000
-0.664 0.000 6.862
Sr Ac Tc
1 8 2
Cartesian
0.000 0.000 0.000
5.821 1.935 4.145
3.096 0.000 6.163
10.751 1.935 2.716
7.146 0.000 1.164
9.427 0.000 5.697
5.821 -1.935 4.145
13.477 0.000 0.698
10.751 -1.935 2.716
4.507 0.000 2.278
12.066 0.000 4.583
```

Values from the calculation:
Crystal system ... monoclinic
ρ ... 7.7 g/cm³
Formation enthalpy at 0 K ... 136 meV per atom
Final energy ... -4.89 eV per atom
M_tot ... 0.000 Bohr magnetons per cell

---

# 20
VASP calculation (PBE) on a relaxed Sr3Ac5Te8 crystal.

```
Sr3Ac5Te8
1.0
4.715 2.722 7.780
-4.715 2.722 7.780
0.000 -5.444 7.780
Sr Ac Te
3 5 8
Cartesian
-2.357 -1.361 7.780
-2.357 1.361 15.560
0.000 2.722 7.780
0.000 0.000 0.000
-4.715 0.000 11.670
-2.357 1.361 3.890
2.357 1.361 3.890
0.000 0.000 11.670
0.000 -2.703 9.697
-2.341 1.352 9.697
0.000 0.000 5.865
-2.341 -1.352 13.643
2.341 1.352 9.697
0.000 0.000 17.474
2.341 -1.352 13.643
0.000 2.703 13.643
```

Values from the calculation:
Crystal system ... trigonal
ρ ... 6.7 g/cm³
Final energy ... -4.74 eV per atom
M_tot ... 0.000 Bohr magnetons per cell

---

# 21
VASP calculation (PBE) on a relaxed Sr4Ac3Te8 crystal.

```
Sr4Ac3Te8
1.0
6.667 -6.693 0.000
6.667 6.693 0.000
-6.665 0.000 6.726
Sr Ac Te
4 3 8
Cartesian
0.000 0.000 0.000
3.333 3.347 0.000
3.333 -3.347 0.000
3.334 0.000 3.363
0.001 3.347 3.363
0.001 -3.347 3.363
6.667 0.000 0.000
-0.025 0.000 3.367
6.667 3.359 0.000
3.334 3.350 3.363
3.355 0.000 0.029
3.314 0.000 6.697
3.334 -3.350 3.363
6.667 -3.359 0.000
6.693 0.000 3.359
```

Values from the calculation:
Crystal system ... monoclinic
ρ ... 5.7 g/cm³
Final energy ... -4.57 eV per atom
M_tot ... 0.000 Bohr magnetons per cell

---

# 22
VASP calculation (PBE) on a relaxed SrAc4Te5 crystal.

```
SrAc4Te5
1.0
2.371 1.369 19.278
-2.371 1.369 19.278
0.000 -2.738 19.278
Sr Ac Te
1 4 5
Cartesian
0.000 0.000 0.000
0.000 0.000 11.593
0.000 0.000 23.211
0.000 0.000 34.622
0.000 0.000 46.240
0.000 0.000 5.798
0.000 0.000 17.362
0.000 0.000 28.916
0.000 0.000 40.471
0.000 0.000 52.035
```

Values from the calculation:
Crystal system ... trigonal
ρ ... 7.2 g/cm³
Final energy ... -4.92 eV per atom
M_tot ... 0.000 Bohr magnetons per cell

---

# 23
VASP calculation (PBE) on a relaxed SrAcTe4 crystal.

```
SrAcTe4
1.0
7.144 0.000 0.000
0.000 7.144 0.000
0.000 0.000 8.456
Sr Ac Te
2 2 8
Cartesian
1.786 1.786 0.000
5.358 5.358 0.000
1.786 1.786 4.228
5.358 5.358 4.228
0.722 4.294 2.143
0.722 6.422 6.313
2.850 4.294 6.313
2.850 6.422 2.143
4.294 0.722 6.313
4.294 2.850 2.143
6.422 0.722 2.143
6.422 2.850 6.313
```

Values from the calculation:
Crystal system ... tetragonal
ρ ... 6.3 g/cm³
Final energy ... -4.21 eV per atom
M_tot ... 0.000 Bohr magnetons per cell

---

# 24
VASP calculation (PBE) on a relaxed SrAcTe2 crystal.

```
SrAcTe2
1.0
4.068 0.000 0.000
0.000 4.068 0.000
0.000 0.000 8.182
Sr Ac Te
1 1 2
Cartesian
0.000 0.000 0.000
0.000 0.000 4.091
2.034 2.034 2.069
2.034 2.034 6.113
```

Values from the calculation:
Crystal system ... tetragonal
ρ ... 7.0 g/cm³
Final energy ... -4.47 eV per atom
M_tot ... 0.003 Bohr magnetons per cell

---

# 25
VASP calculation (PBE) on a relaxed SrAc4Te7 crystal.

```
SrAc4Te7
1.0
7.774 -2.319 0.000
7.774 2.319 0.000
-3.728 0.000 13.467
Sr Ac Te
1 4 7
Cartesian
0.000 0.000 0.000
0.433 0.000 5.661
0.404 0.000 11.476
4.393 0.000 8.514
11.932 0.000 3.181
-1.061 0.000 8.552
1.824 0.000 2.727
5.587 0.000 1.034
5.835 0.000 5.135
5.895 0.000 11.965
10.498 0.000 6.423
10.347 0.000 10.417
```

Values from the calculation:
Crystal system ... monoclinic
ρ ... 6.5 g/cm³
Final energy ... -4.93 eV per atom
M_tot ... 0.000 Bohr magnetons per cell